No. 1
Ca2LaIn | GGA-PBE | optimized geometry

Structure (extended XYZ):
```
4
Lattice="-2.135 1.689 -2.383 0.913 -3.737 -3.465 -5.604 -3.636 2.444" Properties=species:S:1:pos:R:3 pbc="T T T"
In -2.012 -1.933 -2.313
Ca -2.697 -1.750 1.176
Ca -0.105 -0.068 0.046
La -4.814 -3.751 -1.091
```

Energy relative to the lowest polymorph listed for this composition: 95.3 meV per atom
VASP energy: -3.07 eV per atom
Space-group type: No. 47

No. 2
Ca2LaIn | GGA-PBE | optimized geometry

Structure (extended XYZ):
```
4
Lattice="4.997 0.000 0.000 0.000 4.992 0.000 0.000 0.000 5.351" Properties=species:S:1:pos:R:3 pbc="T T T"
Ca 0.000 0.000 0.000
Ca 2.499 2.496 0.000
In 2.499 0.000 2.675
La 0.000 2.496 2.675
```

Energy relative to the lowest polymorph listed for this composition: 0.0 meV per atom
VASP energy: -3.16 eV per atom
Space-group type: No. 123

No. 3
Ca2LaIn | GGA-PBE | optimized geometry

Structure (extended XYZ):
```
4
Lattice="7.077 0.025 0.021 5.978 3.789 0.021 2.289 0.669 5.210" Properties=species:S:1:pos:R:3 pbc="T T T"
La 11.892 3.474 3.749
Ca 13.024 3.804 0.060
Ca 3.428 1.001 1.503
In 7.729 2.258 2.608
```

Energy relative to the lowest polymorph listed for this composition: 76.6 meV per atom
VASP energy: -3.09 eV per atom
Space-group type: No. 8

No. 4
Ca2La2In | GGA-PBE | optimized geometry

Structure (extended XYZ):
```
10
Lattice="8.150 0.000 0.000 0.000 8.150 0.000 0.000 0.000 5.495" Properties=species:S:1:pos:R:3 pbc="T T T"
Ca 6.943 5.281 0.000
Ca 1.206 2.868 0.000
Ca 5.281 1.206 0.000
Ca 2.868 6.943 0.000
La 1.308 5.383 2.747
La 6.841 2.766 2.747
La 2.766 1.308 2.747
La 5.383 6.841 2.747
In 0.000 0.000 0.000
In 4.075 4.075 0.000
```

Energy relative to the lowest polymorph listed for this composition: 0.0 meV per atom
VASP energy: -3.28 eV per atom
Space-group type: No. 127

No. 5
CaLa4In | GGA-PBE | optimized geometry

Structure (extended XYZ):
```
6
Lattice="0.000 4.750 4.750 4.750 0.000 4.750 4.750 4.750 0.000" Properties=species:S:1:pos:R:3 pbc="T T T"
La 5.966 5.966 3.533
La 3.533 5.966 5.966
La 3.533 3.533 3.533
La 5.966 3.533 5.966
In 0.000 0.000 0.000
Ca 7.124 7.124 7.124
```

VASP energy: -3.96 eV per atom
Space-group type: No. 216

No. 6
CaLa2In2 | GGA-PBE | optimized geometry

Structure (extended XYZ):
```
10
Lattice="-3.885 -4.936 -2.006 0.416 -2.527 5.412 -5.451 10.002 -3.218" Properties=species:S:1:pos:R:3 pbc="T T T"
In -6.013 2.189 -1.981
In -6.737 -0.258 0.244
In -2.906 0.349 2.170
In -2.183 2.796 -0.056
La -3.553 0.060 -1.314
La -4.346 -2.474 0.876
La -5.366 2.478 1.503
La -4.573 5.013 -0.687
Ca -2.803 -5.853 2.451
Ca -0.666 -1.610 0.955
```

Energy relative to the lowest polymorph listed for this composition: 131.2 meV per atom
VASP energy: -3.75 eV per atom
Space-group type: No. 15

Number 1: M_tot 0.0 μB/f.u., calculated formation energy -15 kJ/mol of atoms, ρ 4.160 Mg/m³. Number 2: M_tot 0.0 μB/f.u., calculated formation energy -24 kJ/mol of atoms, ρ 4.153 Mg/m³. Number 3: M_tot 0.0 μB/f.u., calculated formation energy -16 kJ/mol of atoms, ρ 3.997 Mg/m³. Number 4: M_tot 0.0 μB/f.u., calculated formation energy 4 kJ/mol of atoms, ρ 4.302 Mg/m³. Number 5: M_tot 0.0 μB/f.u., calculated formation energy 11 kJ/mol of atoms, ρ 5.506 Mg/m³. Number 6: M_tot 0.0 μB/f.u., calculated formation energy -27 kJ/mol of atoms, ρ 5.396 Mg/m³.